An optimized crystal structure of Ba2ClO2. Source: Alexandria via LeMat-Bulk, functional PBE-GGA.

Geometry as CIF:
```
data_Ba2ClO2
_cell_length_a 8.032
_cell_length_b 8.032
_cell_length_c 3.659
_cell_angle_alpha 90.00
_cell_angle_beta 90.00
_cell_angle_gamma 90.00
_symmetry_space_group_name_H-M 'P 4/m b m'
_symmetry_Int_Tables_number 127
_symmetry_space_group_name_Hall '-P 4 2ab'
loop_
_atom_site_label
_atom_site_type_symbol
_atom_site_fract_x
_atom_site_fract_y
_atom_site_fract_z
Ba1 Ba 0.154 0.346 0.000
Cl1 Cl 0.000 0.000 0.000
O1 O 0.104 0.604 0.500
```

Computed properties:
energy above the most stable polymorph in this dataset: 0.2090 eV per atom
calculated total energy: -51.60 eV per cell
energy relative to the elements, uncorrected: -47.008 kcal/mol of atoms



An optimized crystal structure of BaCl3O. Source: Alexandria via LeMat-Bulk, functional PBE-GGA.

Geometry as CIF:
```
data_BaCl3O
_cell_length_a 6.116
_cell_length_b 6.116
_cell_length_c 6.116
_cell_angle_alpha 90.00
_cell_angle_beta 90.00
_cell_angle_gamma 90.00
_symmetry_space_group_name_H-M 'P m -3 m'
_symmetry_Int_Tables_number 221
_symmetry_space_group_name_Hall '-P 4 2 3'
loop_
_atom_site_label
_atom_site_type_symbol
_atom_site_fract_x
_atom_site_fract_y
_atom_site_fract_z
Ba1 Ba 0.000 0.000 0.000
Cl1 Cl 0.000 0.000 0.500
O1 O 0.500 0.500 0.500
```

Computed properties:
energy above the most stable polymorph in this dataset: 0.3941 eV per atom
calculated total energy: -15.26 eV per cell
energy relative to the elements, uncorrected: -13.098 kcal/mol of atoms



An optimized crystal structure of Ba12Cl3O5. Source: Alexandria via LeMat-Bulk, functional PBE-GGA.

Geometry as CIF:
```
data_Ba12Cl3O5
_cell_length_a 17.821
_cell_length_b 17.821
_cell_length_c 17.821
_cell_angle_alpha 90.00
_cell_angle_beta 90.00
_cell_angle_gamma 90.00
_symmetry_space_group_name_H-M 'I a -3 d'
_symmetry_Int_Tables_number 230
_symmetry_space_group_name_Hall '-I 4bd 2c 3'
loop_
_atom_site_label
_atom_site_type_symbol
_atom_site_fract_x
_atom_site_fract_y
_atom_site_fract_z
Ba1 Ba 0.035 0.046 0.650
Cl1 Cl 0.000 0.250 0.125
O1 O 0.000 0.000 0.000
O2 O 0.000 0.250 0.375
```

Computed properties:
calculated total energy: -681.70 eV per cell
energy relative to the elements, uncorrected: -36.677 kcal/mol of atoms



An optimized crystal structure of BaCl2O. Source: Alexandria via LeMat-Bulk, functional PBE-GGA.

Geometry as CIF:
```
data_BaCl2O
_cell_length_a 4.152
_cell_length_b 4.152
_cell_length_c 22.658
_cell_angle_alpha 90.00
_cell_angle_beta 90.00
_cell_angle_gamma 90.00
_symmetry_space_group_name_H-M 'I -4 2 d'
_symmetry_Int_Tables_number 122
_symmetry_space_group_name_Hall 'I -4 2bw'
loop_
_atom_site_label
_atom_site_type_symbol
_atom_site_fract_x
_atom_site_fract_y
_atom_site_fract_z
Ba1 Ba 0.000 0.000 0.000
Cl1 Cl 0.248 0.250 0.625
O1 O 0.000 0.000 0.500
```

Computed properties:
energy above the most stable polymorph in this dataset: 0.2620 eV per atom
calculated total energy: -60.02 eV per cell
energy relative to the elements, uncorrected: -25.543 kcal/mol of atoms